The following is a GGA-PBE calculation of a relaxed structure of Ac3CeOs2, from Alexandria via LeMat-Bulk.

a b c (Å): 8.851 8.851 11.834
angles (deg): 63.04 63.04 29.24
Element x y z (fractional)
1 Ac 0.946 0.946 0.228
2 Os 0.607 0.607 0.571
3 Ac 0.336 0.336 0.015
4 Ac 0.212 0.212 0.397
5 Os 0.136 0.136 0.182
6 Os 0.393 0.393 0.429
7 Ac 0.054 0.054 0.772
8 Ac 0.788 0.788 0.603
9 Ac 0.664 0.664 0.985
10 Ce 0.566 0.566 0.338
11 Os 0.864 0.864 0.818
12 Ce 0.434 0.434 0.662

Summary:
DOS at the Fermi energy, states/eV per cell: 10.786
Energy of formation from the pure elements, kcal/mol of atoms: -1.7
Calculated density, g/cm³: 9.97